[1]
Here is a geometry-optimized Li2ZrS3 structure from OQMD. Energies are from PBE.

Output
Its total energy is -67.17 eV for the cell shown. As for the space group: No. 15.

a = 6.390 Å, b = 6.390 Å, c = 6.371 Å
α = 100.14°, β = 100.14°, γ = 119.41°
Sites, in units of the cell vectors:
Li (0.086, 0.914, 0.750)
Li (0.254, 0.746, 0.250)
Li (0.746, 0.254, 0.750)
Li (0.914, 0.086, 0.250)
Zr (0.415, 0.585, 0.750)
Zr (0.585, 0.415, 0.250)
S (0.000, 0.500, 0.500)
S (0.179, 0.337, 0.994)
S (0.337, 0.179, 0.494)
S (0.500, 0.000, 0.000)
S (0.663, 0.821, 0.506)
S (0.821, 0.663, 0.006)

***

[2]
Here is a geometry-optimized Li4ZnPd2Au structure from OQMD. Energies are from PBE.

Output
Its total energy is -26.23 eV for the cell shown. As for the space group: No. 115.

a = 4.333 Å, b = 4.333 Å, c = 6.225 Å
α = 90.00°, β = 90.00°, γ = 90.00°
Sites, in units of the cell vectors:
Li (0.000, 0.000, 0.000)
Li (0.000, 0.500, 0.249)
Li (0.500, 0.000, 0.751)
Li (0.500, 0.500, 0.500)
Zn (0.000, 0.000, 0.500)
Pd (0.000, 0.500, 0.725)
Pd (0.500, 0.000, 0.275)
Au (0.500, 0.500, 0.000)

***

Among the records above, which one has the highest total energy?
Li4ZnPd2Au

***

Which value of total energy does entry 1 give?
-67.17 eV for the cell shown

***

Which of these has the highest total energy?
Li4ZnPd2Au